Material: EuBiAu2
Method: DFT, PBE
State: relaxed

Summary:
density of states at the Fermi level	11.46	states/eV per cell
ΔH_f (0 K)	-0.490	eV per atom

abc: 4.2842 4.7965 4.7965
angles: 90.00 90.00 90.00
Last column: nearest neighbours and their distance in Å.
Fractional coordinates of all 4 atoms:
Eu 0.5000 0.5000 0.5000  8 Au 3.22, 4 Bi 3.39
Au 0.0000 0.0000 0.5000  4 Bi 3.22, 4 Eu 3.22, 4 Au 3.39
Au 0.0000 0.5000 0.0000  4 Bi 3.22, 4 Eu 3.22, 4 Au 3.39
Bi 0.5000 0.0000 0.0000  8 Au 3.22, 4 Eu 3.39



Material: EuBiAu
Method: DFT, PBE
State: relaxed

Summary:
density of states at the Fermi level	11.69	states/eV per cell
ΔH_f (0 K)	-0.659	eV per atom

abc: 4.4118 4.8114 4.8114
angles: 120.00 90.00 90.00
Last column: nearest neighbours and their distance in Å.
Fractional coordinates of all 3 atoms:
Au 0.1002 0.0000 0.0000  3 Bi 2.82
Bi 0.2126 0.3333 0.6667  3 Au 2.82
Eu 0.6872 0.6667 0.3333  3 Au 3.32, 6 Bi 3.48-3.62



Material: EuBiAu
Method: DFT, PBE
State: relaxed

Summary:
density of states at the Fermi level	10.84	states/eV per cell
ΔH_f (0 K)	-0.541	eV per atom

abc: 3.7323 3.7323 6.5428
angles: 106.57 106.57 90.00
Last column: nearest neighbours and their distance in Å.
Fractional coordinates of all 3 atoms:
Eu 0.6370 0.6370 0.2740  4 Au 3.13
Bi 0.9355 0.9355 0.8710  4 Au 3.25, 5 Eu 3.57-3.58
Au 0.2775 0.2775 0.5550  4 Eu 3.13, 4 Bi 3.25



Number 1: total magnetization 6.92 μB/f.u., raw total energy -5.6680 eV/atom, calculated volume 24.641 A^3/atom. Number 2: total magnetization 7.04 μB/f.u., raw total energy -6.4700 eV/atom, calculated volume 29.483 A^3/atom. Number 3: total magnetization 6.88 μB/f.u., raw total energy -6.3523 eV/atom, calculated volume 27.799 A^3/atom.